Computed, not measured: crystalline ZrSe3 at its relaxed geometry at the PBE-GGA level of DFT.

Results
Uncorrected energy   -22.3 eV per cell
SG   P2/m (10)
DOS at the Fermi energy   0.102 states/eV/atom

Cell lengths 3.9013, 5.4001, 6.3729 Å; angles 51.46, 90.00, 90.00 degrees
Last column: nearest neighbours and their distance in Å.
Fractional coordinates of all 4 atoms:
Se: 0.0000 0.0384 0.0851  1 Se 2.44
Se: 0.5000 0.7500 0.7500  2 Zr 2.59
Se: 0.0000 0.4616 0.4149  1 Se 2.44
Zr: 0.5000 0.2500 0.2500  6 Se 2.59-2.78